DFT (PBE with a Hubbard U) results for a relaxed MnOF crystal.

Output
Total energy = -160.51 eV/cell
Theoretical density = 4.43 g cm⁻³
D(E_F) = 2.0 states/eV per cell

Lattice parameters (Å, degrees): 5.6039 4.6655 11.6869 90.00 117.92 90.00
Space group P2_1/c (No. 14)
Unique sites:
Mn (0.0243, 0.0370, 0.3737) [4 per cell]
Mn (0.4754, 0.0478, 0.1244) [4 per cell]
O (0.1554, 0.2168, 0.5438) [4 per cell]
O (0.1810, 0.1622, 0.7930) [4 per cell]
F (0.3282, 0.6907, 0.7134) [4 per cell]
F (0.3647, 0.7463, 0.9694) [4 per cell]